Run a
# LuMgGe2

An optimized crystal structure of LuMgGe2 (GGA-PBE, Alexandria via LeMat-Bulk).

Cell and atoms, written as extended XYZ:
```
12
Lattice="4.501 0.000 0.000 -2.251 3.898 0.000 0.000 0.000 14.382" Properties=species:S:1:pos:R:3 pbc="T T T"
Lu 0.000 0.000 0.000
Lu 0.000 2.599 9.588
Lu 2.251 1.299 4.794
Mg 0.000 0.000 7.191
Mg 0.000 2.599 2.397
Mg 2.251 1.299 11.985
Ge 0.000 0.000 3.501
Ge 0.000 0.000 10.880
Ge 0.000 2.599 6.087
Ge 0.000 2.599 13.089
Ge 2.251 1.299 1.293
Ge 2.251 1.299 8.295
```

Results
The magnetic moment comes out at 0.0001 μB/atom. Its theoretical density is 6.8 g/cm³. As for the space group: R-3m.

Run b
# LuMgGe2

An optimized crystal structure of LuMgGe2 (GGA-PBE, Alexandria via LeMat-Bulk).

Cell and atoms, written as extended XYZ:
```
4
Lattice="4.505 0.000 0.000 0.000 4.505 0.000 0.000 0.000 3.939" Properties=species:S:1:pos:R:3 pbc="T T T"
Lu 0.000 0.000 0.000
Mg 2.253 2.253 0.000
Ge 0.000 2.253 1.970
Ge 2.253 0.000 1.970
```

Results
The magnetic moment comes out at 0.0000 μB/atom. Its theoretical density is 7.2 g/cm³. As for the space group: P4/mmm.

Run c
# LuMgGe2

An optimized crystal structure of LuMgGe2 (GGA-PBE, Alexandria via LeMat-Bulk).

Cell and atoms, written as extended XYZ:
```
4
Lattice="3.582 0.000 0.000 0.000 3.582 0.000 0.000 0.000 6.339" Properties=species:S:1:pos:R:3 pbc="T T T"
Lu 0.000 0.000 0.000
Mg 0.000 0.000 3.169
Ge 1.791 1.791 1.728
Ge 1.791 1.791 4.611
```

Results
The magnetic moment comes out at 0.0000 μB/atom. Its theoretical density is 7.0 g/cm³. As for the space group: P4/mmm.

Energy relative to the most stable one, in meV/atom: run a 88; run b 0; run c 104

Run a
# NdLuGe

An optimized crystal structure of NdLuGe (GGA-PBE, Alexandria via LeMat-Bulk).

Cell and atoms, written as extended XYZ:
```
12
Lattice="6.961 0.000 0.000 0.000 6.961 0.000 0.000 0.000 6.961" Properties=species:S:1:pos:R:3 pbc="T T T"
Nd 0.000 0.000 0.000
Nd 0.000 3.481 3.481
Nd 3.481 0.000 3.481
Nd 3.481 3.481 0.000
Lu 0.000 0.000 3.481
Lu 0.000 3.481 0.000
Lu 3.481 0.000 0.000
Lu 3.481 3.481 3.481
Ge 1.740 1.740 5.221
Ge 1.740 5.221 1.740
Ge 5.221 1.740 1.740
Ge 5.221 5.221 5.221
```

Results
The magnetic moment comes out at 0.0005 μB/atom. Its theoretical density is 7.7 g/cm³. As for the space group: F-43m.

Run b
# NdLuGe

An optimized crystal structure of NdLuGe (GGA-PBE, Alexandria via LeMat-Bulk).

Cell and atoms, written as extended XYZ:
```
3
Lattice="4.747 0.000 0.000 -2.373 4.111 0.000 0.000 0.000 4.224" Properties=species:S:1:pos:R:3 pbc="T T T"
Nd 0.000 0.000 0.000
Lu 0.000 2.741 2.063
Ge 2.373 1.370 2.356
```

Results
The magnetic moment comes out at 0.0000 μB/atom. Its theoretical density is 7.9 g/cm³. As for the space group: P3m1.

Energy relative to the most stable one, in meV/atom: run a 0; run b 54

Run a
# Lu2PaGe

An optimized crystal structure of Lu2PaGe (GGA-PBE, Alexandria via LeMat-Bulk).

Cell and atoms, written as extended XYZ:
```
4
Lattice="4.604 0.000 0.000 0.000 4.604 0.000 0.000 0.000 4.442" Properties=species:S:1:pos:R:3 pbc="T T T"
Lu 0.000 2.302 0.000
Lu 2.302 0.000 0.000
Pa 0.000 0.000 2.221
Ge 2.302 2.302 2.221
```

Results
The magnetic moment comes out at 0.0004 μB/atom. Its theoretical density is 11.5 g/cm³. As for the space group: P4/mmm.

Run b
# Lu2PaGe

An optimized crystal structure of Lu2PaGe (GGA-PBE, Alexandria via LeMat-Bulk).

Cell and atoms, written as extended XYZ:
```
12
Lattice="3.238 0.000 0.000 -1.619 2.804 0.000 0.000 0.000 32.903" Properties=species:S:1:pos:R:3 pbc="T T T"
Lu 0.000 0.000 3.194
Lu 0.000 0.000 29.709
Lu 0.000 1.869 18.741
Lu 0.000 1.869 25.130
Lu 1.619 0.935 7.773
Lu 1.619 0.935 14.162
Pa 0.000 0.000 0.000
Pa 0.000 1.869 21.936
Pa 1.619 0.935 10.968
Ge 0.000 0.000 16.452
Ge 0.000 1.869 5.484
Ge 1.619 0.935 27.420
```

Results
The magnetic moment comes out at 0.0000 μB/atom. Its theoretical density is 10.9 g/cm³. As for the space group: R-3m.

Energy relative to the most stable one, in meV/atom: run a 0; run b 219

Run a
# PmLu2Ge

An optimized crystal structure of PmLu2Ge (GGA-PBE, Alexandria via LeMat-Bulk).

Cell and atoms, written as extended XYZ:
```
4
Lattice="4.658 0.000 0.000 0.000 4.658 0.000 0.000 0.000 4.653" Properties=species:S:1:pos:R:3 pbc="T T T"
Pm 0.000 0.000 0.000
Lu 0.000 2.329 2.326
Lu 2.329 0.000 2.326
Ge 2.329 2.329 0.000
```

Results
The magnetic moment comes out at 0.0041 μB/atom. Its theoretical density is 9.3 g/cm³. As for the space group: P4/mmm.

Run b
# PmLu2Ge

An optimized crystal structure of PmLu2Ge (GGA-PBE, Alexandria via LeMat-Bulk).

Cell and atoms, written as extended XYZ:
```
12
Lattice="4.828 0.000 0.000 -2.414 4.181 0.000 0.000 0.000 16.295" Properties=species:S:1:pos:R:3 pbc="T T T"
Pm 0.000 0.000 0.000
Pm 0.000 2.787 10.863
Pm 2.414 1.394 5.432
Lu 0.000 0.000 3.646
Lu 0.000 0.000 12.649
Lu 0.000 2.787 7.218
Lu 0.000 2.787 14.509
Lu 2.414 1.394 1.786
Lu 2.414 1.394 9.077
Ge 0.000 0.000 8.147
Ge 0.000 2.787 2.716
Ge 2.414 1.394 13.579
```

Results
The magnetic moment comes out at 0.0000 μB/atom. Its theoretical density is 8.6 g/cm³. As for the space group: R-3m.

Energy relative to the most stable one, in meV/atom: run a 0; run b 247

Run a
# Pm2LuGe

An optimized crystal structure of Pm2LuGe (GGA-PBE, Alexandria via LeMat-Bulk).

Cell and atoms, written as extended XYZ:
```
4
Lattice="4.706 0.000 0.000 0.000 4.706 0.000 0.000 0.000 4.757" Properties=species:S:1:pos:R:3 pbc="T T T"
Pm 0.000 2.353 0.000
Pm 2.353 0.000 0.000
Lu 0.000 0.000 2.378
Ge 2.353 2.353 2.378
```

Results
The magnetic moment comes out at 0.0000 μB/atom. Its theoretical density is 8.5 g/cm³. As for the space group: P4/mmm.

Run b
# Pm2LuGe

An optimized crystal structure of Pm2LuGe (GGA-PBE, Alexandria via LeMat-Bulk).

Cell and atoms, written as extended XYZ:
```
4
Lattice="4.103 0.000 0.000 0.000 4.103 0.000 0.000 0.000 6.523" Properties=species:S:1:pos:R:3 pbc="T T T"
Pm 0.000 0.000 1.470
Pm 0.000 0.000 5.053
Lu 2.051 2.051 3.261
Ge 2.051 2.051 0.000
```

Results
The magnetic moment comes out at 0.0000 μB/atom. Its theoretical density is 8.1 g/cm³. As for the space group: P4/mmm.

Energy relative to the most stable one, in meV/atom: run a 9; run b 0

Run a
# PrLuGe

An optimized crystal structure of PrLuGe (GGA-PBE, Alexandria via LeMat-Bulk).

Cell and atoms, written as extended XYZ:
```
12
Lattice="6.994 0.000 0.000 0.000 6.994 0.000 0.000 0.000 6.994" Properties=species:S:1:pos:R:3 pbc="T T T"
Pr 0.000 0.000 0.000
Pr 0.000 3.497 3.497
Pr 3.497 0.000 3.497
Pr 3.497 3.497 0.000
Lu 0.000 0.000 3.497
Lu 0.000 3.497 0.000
Lu 3.497 0.000 0.000
Lu 3.497 3.497 3.497
Ge 1.749 1.749 5.246
Ge 1.749 5.246 1.749
Ge 5.246 1.749 1.749
Ge 5.246 5.246 5.246
```

Results
The magnetic moment comes out at 0.0000 μB/atom. Its theoretical density is 7.5 g/cm³. As for the space group: F-43m.

Run b
# PrLuGe

An optimized crystal structure of PrLuGe (GGA-PBE, Alexandria via LeMat-Bulk).

Cell and atoms, written as extended XYZ:
```
3
Lattice="4.766 0.000 0.000 -2.383 4.127 0.000 0.000 0.000 4.247" Properties=species:S:1:pos:R:3 pbc="T T T"
Pr 0.000 0.000 0.000
Lu 0.000 2.751 2.155
Ge 2.383 1.376 1.972
```

Results
The magnetic moment comes out at 0.0000 μB/atom. Its theoretical density is 7.7 g/cm³. As for the space group: P3m1.

Energy relative to the most stable one, in meV/atom: run a 0; run b 36

Run a
# SmLuGe2

An optimized crystal structure of SmLuGe2 (GGA-PBE, Alexandria via LeMat-Bulk).

Cell and atoms, written as extended XYZ:
```
4
Lattice="4.752 0.000 0.000 0.000 4.752 0.000 0.000 0.000 4.023" Properties=species:S:1:pos:R:3 pbc="T T T"
Sm 0.000 0.000 0.000
Lu 2.376 2.376 0.000
Ge 0.000 2.376 2.012
Ge 2.376 0.000 2.012
```

Results
The magnetic moment comes out at 0.0000 μB/atom. Its theoretical density is 8.6 g/cm³. As for the space group: P4/mmm.

Run b
# SmLuGe2

An optimized crystal structure of SmLuGe2 (GGA-PBE, Alexandria via LeMat-Bulk).

Cell and atoms, written as extended XYZ:
```
12
Lattice="4.598 0.000 0.000 -2.299 3.982 0.000 0.000 0.000 15.873" Properties=species:S:1:pos:R:3 pbc="T T T"
Sm 0.000 0.000 0.000
Sm 0.000 2.655 10.582
Sm 2.299 1.327 5.291
Lu 0.000 0.000 7.936
Lu 0.000 2.655 2.645
Lu 2.299 1.327 13.227
Ge 0.000 0.000 3.838
Ge 0.000 0.000 12.034
Ge 0.000 2.655 6.743
Ge 0.000 2.655 14.420
Ge 2.299 1.327 1.452
Ge 2.299 1.327 9.129
```

Results
The magnetic moment comes out at 0.0000 μB/atom. Its theoretical density is 8.1 g/cm³. As for the space group: R-3m.

Energy relative to the most stable one, in meV/atom: run a 71; run b 0